[1]
## MnAl2Zn (PBE-GGA)

Data for a relaxed MnAl2Zn crystal.

abc: 3.6783 3.6783 8.1091
angles: 90.00 90.00 90.00
Closest atoms and distances in Å follow each position.
Space group I-4m2 (No. 119)
Unique sites:
Mn: 0.0000 0.0000 0.0000 x2  8 Al 2.60-2.74, 4 Zn 2.74
Al: 0.0000 0.0000 0.5000 x2  4 Mn 2.60, 4 Al 2.74, 4 Zn 2.74
Al: 0.0000 0.5000 0.7500 x2  4 Zn 2.60, 4 Mn 2.74, 4 Al 2.74
Zn: 0.0000 0.5000 0.2500 x2  8 Al 2.60-2.74, 4 Mn 2.74

Spin magnetization (μB/cell): 2.85
E (eV/cell): -37.12
Mass density (Mg/m³): 5.3
Energy of formation (eV per formula unit): -0.6
Fermi-level density of states (states/eV per atom): 0.51


[2]
## Tb2ErSnN4 (PBE-GGA)

Data for a relaxed Tb2ErSnN4 crystal.

abc: 5.9888 3.4707 6.0209
angles: 90.00 109.66 90.00
Closest atoms and distances in Å follow each position.
Space group P2/m (No. 10)
Unique sites:
Tb: 0.0000 0.0000 0.0000 x1  6 N 2.47
Tb: 0.0000 0.5000 0.5000 x1  6 N 2.42-2.43
Er: 0.5000 0.0000 0.5000 x1  6 N 2.43
Sn: 0.5000 0.5000 0.0000 x1  6 N 2.47-2.49
N: 0.2477 0.0000 0.7436 x2  3 Tb 2.43-2.47, 1 Er 2.43, 2 Sn 2.47
N: 0.2494 0.5000 0.2569 x2  3 Tb 2.42-2.47, 2 Er 2.43, 1 Sn 2.49

Spin magnetization (μB/cell): 0.00
E (eV/cell): -59.74
Mass density (Mg/m³): 9.3
E_form (uncorrected) (eV/atom): -1.076
Fermi-level density of states (states/eV per atom): 0.52


[3]
## ZrScAsBr2 (PBE-GGA)

Data for a relaxed ZrScAsBr2 crystal.

abc: 5.0405 5.0405 5.4259
angles: 90.00 90.00 90.00
Closest atoms and distances in Å follow each position.
Space group P4/mmm (No. 123)
Unique sites:
Zr: 0.0000 0.0000 0.0000 x1  4 As 3.56, 8 Br 3.70
Sc: 0.5000 0.5000 0.5000 x1  4 Br 2.52, 2 As 2.71
As: 0.5000 0.5000 0.0000 x1  2 Sc 2.71
Br: 0.0000 0.5000 0.5000 x2  2 Sc 2.52

Spin magnetization (μB/cell): 1.95
E (eV/cell): -24.04
Excess energy over the best structure of this formula in the dataset (eV per atom): 0.075
Mass density (Mg/m³): 4.5
E_form (uncorrected) (eV/atom): -0.233
Fermi-level density of states (states/eV per atom): 0.90


[4]
## PmSnBr (PBE-GGA)

Data for a relaxed PmSnBr crystal.

abc: 9.6232 4.1647 11.7563
angles: 90.00 110.51 90.00
Closest atoms and distances in Å follow each position.
Space group C2/m (No. 12)
Unique sites:
Pm: 0.1388 0.0000 0.1890 x4  2 Br 2.91
Sn: 0.1327 0.5000 0.9644 x4  3 Sn 2.95-2.97, 1 Pm 3.30
Br: 0.2004 0.0000 0.6435 x4  2 Pm 2.91

Spin magnetization (μB/cell): 0.00
E (eV/cell): -53.89
Excess energy over the best structure of this formula in the dataset (eV per atom): 0.018
Mass density (Mg/m³): 5.2
E_form (uncorrected) (eV/atom): -1.016
Fermi-level density of states (states/eV per atom): 0.36


[5]
## SrCaSb2 (PBE-GGA)

Data for a relaxed SrCaSb2 crystal.

abc: 7.9268 7.9268 7.9268
angles: 90.00 90.00 90.00
Closest atoms and distances in Å follow each position.
Space group F-43m (No. 216)
Unique sites:
Sr: 0.0000 0.0000 0.0000 x4  4 Ca 3.43, 4 Sb 3.43
Ca: 0.2500 0.2500 0.2500 x4  4 Sb 3.43, 4 Sr 3.43
Sb: 0.0000 0.0000 0.5000 x4  4 Sb 3.43, 4 Ca 3.43
Sb: 0.2500 0.2500 0.7500 x4  4 Sb 3.43, 4 Sr 3.43

Spin magnetization (μB/cell): 0.00
E (eV/cell): -53.06
Excess energy over the best structure of this formula in the dataset (eV per atom): 0.489
Mass density (Mg/m³): 5.0
E_form (uncorrected) (eV/atom): -0.334
Fermi-level density of states (states/eV per atom): 1.05


[6]
## Sr2TlTc (PBE-GGA)

Data for a relaxed Sr2TlTc crystal.

abc: 4.7108 4.7108 22.6453
angles: 90.00 90.00 120.00
Closest atoms and distances in Å follow each position.
Space group R3m (No. 160, hexagonal axes)
Unique sites:
Sr: 0.0000 0.0000 0.0000 x3  3 Tc 3.38, 3 Tl 3.39
Sr: 0.0000 0.0000 0.1781 x3  3 Tl 3.38, 3 Tc 3.39
Tl: 0.0000 0.0000 0.7560 x3  3 Tc 2.72
Tc: 0.0000 0.0000 0.4219 x3  3 Tl 2.72

Spin magnetization (μB/cell): 0.00
E (eV/cell): -44.08
Excess energy over the best structure of this formula in the dataset (eV per atom): 0.000
Mass density (Mg/m³): 5.5
Energy of formation (eV per formula unit): 1.4
Fermi-level density of states (states/eV per atom): 0.94


[7]
## KMoAs2Br (PBE-GGA)

Data for a relaxed KMoAs2Br crystal.

abc: 5.6249 5.6249 5.5970
angles: 90.00 90.00 90.00
Closest atoms and distances in Å follow each position.
Space group P4/mmm (No. 123)
Unique sites:
K: 0.0000 0.0000 0.0000 x1  2 Br 2.80, 4 As 2.81
Mo: 0.5000 0.5000 0.5000 x1  8 As 3.97, 4 Br 3.98
As: 0.0000 0.5000 0.0000 x2  2 K 2.81
Br: 0.0000 0.0000 0.5000 x1  2 K 2.80

Spin magnetization (μB/cell): 1.98
E (eV/cell): -14.65
Excess energy over the best structure of this formula in the dataset (eV per atom): 1.879
Mass density (Mg/m³): 3.4
E_form (uncorrected) (eV/atom): 1.649
Fermi-level density of states (states/eV per atom): 0.67


[8]
## Ac2TeF4 (PBE-GGA)

Data for a relaxed Ac2TeF4 crystal.

abc: 8.2907 8.2907 4.1405
angles: 90.00 90.00 90.00
Closest atoms and distances in Å follow each position.
Space group P4_2/mnm (No. 136)
Unique sites:
Ac: 0.2239 0.2239 0.0000 x4  6 F 2.60-2.76
Te: 0.0000 0.0000 0.5000 x2  6 Ac 3.24-3.34, 8 F 3.49
F: 0.0926 0.6740 0.0000 x8  3 Ac 2.60-2.76, 1 F 2.74

Spin magnetization (μB/cell): 0.00
E (eV/cell): -86.92
Excess energy over the best structure of this formula in the dataset (eV per atom): 0.117
Mass density (Mg/m³): 7.7
E_form (uncorrected) (eV/atom): -3.516
Fermi-level density of states (states/eV per atom): 0.00


> Number 8 is which compound?

Ac2TeF4


Please write out number 4 again, unchanged.
## PmSnBr (PBE-GGA)

Data for a relaxed PmSnBr crystal.

abc: 9.6232 4.1647 11.7563
angles: 90.00 110.51 90.00
Closest atoms and distances in Å follow each position.
Space group C2/m (No. 12)
Unique sites:
Pm: 0.1388 0.0000 0.1890 x4  2 Br 2.91
Sn: 0.1327 0.5000 0.9644 x4  3 Sn 2.95-2.97, 1 Pm 3.30
Br: 0.2004 0.0000 0.6435 x4  2 Pm 2.91

Spin magnetization (μB/cell): 0.00
E (eV/cell): -53.89
Excess energy over the best structure of this formula in the dataset (eV per atom): 0.018
Mass density (Mg/m³): 5.2
E_form (uncorrected) (eV/atom): -1.016
Fermi-level density of states (states/eV per atom): 0.36